Material: HgICl2
Method: DFT, PBE
State: optimized geometry

For the total energy, the calculation gives -1.108 eV per atom. As for the energy relative to the lowest polymorph listed for this composition: 68.39 kJ per mole of atoms. Its density is 6.2 Mg/m³. The size of the total moment comes out at 1.05 μB/f.u.

Cell and atoms, written as POSCAR:
```
HgICl2
1.0
0.000 3.768 3.768
3.768 0.000 3.768
3.768 3.768 0.000
Hg I Cl
1 1 2
Cartesian
0.000 0.000 0.000 Hg
3.768 3.768 3.768 I
1.884 1.884 1.884 Cl
5.652 5.652 5.652 Cl
```



Material: Hg2I3Cl
Method: DFT, PBE
State: optimized geometry

For the total energy, the calculation gives -1.539 eV per atom. As for the energy relative to the lowest polymorph listed for this composition: 0.00 kJ per mole of atoms. Its density is 5.1 Mg/m³. The size of the total moment comes out at 0.00 μB/f.u.

Cell and atoms, written as POSCAR:
```
Hg2I3Cl
1.0
8.474 -2.507 0.000
8.474 2.507 0.000
-7.348 0.000 12.559
Hg I Cl
4 6 2
Cartesian
1.307 0.000 4.644 Hg
-2.071 0.000 10.968 Hg
11.670 0.000 1.591 Hg
8.292 0.000 7.915 Hg
-4.668 0.000 11.528 I
-1.161 0.000 5.611 I
0.517 0.000 10.342 I
9.082 0.000 2.216 I
10.761 0.000 6.948 I
14.267 0.000 1.031 I
3.521 0.000 3.749 Cl
6.079 0.000 8.810 Cl
```



Material: Hg5I12Cl3
Method: DFT, PBE
State: optimized geometry

For the total energy, the calculation gives -1.253 eV per atom. Its density is 5.5 Mg/m³. The size of the total moment comes out at 5.05 μB/f.u.

Cell and atoms, written as POSCAR:
```
Hg5I12Cl3
1.0
-9.263 9.263 9.263
9.263 -9.263 9.263
9.263 9.263 -9.263
Hg I Cl
20 48 12
Cartesian
0.000 0.000 0.000 Hg
4.631 4.631 -4.631 Hg
4.631 -4.631 4.631 Hg
9.263 0.000 0.000 Hg
13.894 2.316 0.000 Hg
9.263 -4.631 6.947 Hg
6.947 9.263 -4.631 Hg
6.947 0.000 4.631 Hg
4.631 6.947 0.000 Hg
9.263 4.631 2.316 Hg
-4.631 4.631 4.631 Hg
0.000 9.263 0.000 Hg
0.000 0.000 9.263 Hg
4.631 4.631 4.631 Hg
0.000 4.631 6.947 Hg
4.631 2.316 9.263 Hg
2.316 9.263 4.631 Hg
2.316 0.000 13.894 Hg
0.000 13.894 2.316 Hg
-4.631 6.947 9.263 Hg
2.705 -0.656 1.315 I
11.190 5.947 -5.287 I
8.607 -1.315 2.705 I
14.550 -1.927 3.316 I
11.967 0.656 1.315 I
11.190 -3.316 5.287 I
1.315 2.705 -0.656 I
12.579 3.976 -1.927 I
5.947 5.287 -1.927 I
7.948 2.705 0.656 I
-0.656 1.315 2.705 I
5.287 -1.927 5.947 I
8.607 7.948 -2.705 I
5.287 1.927 3.316 I
7.948 -2.705 8.607 I
5.947 -5.287 11.190 I
3.316 5.287 1.927 I
10.578 6.558 0.656 I
2.705 8.607 -1.315 I
11.190 3.316 3.976 I
5.287 11.190 -3.316 I
8.607 1.315 6.558 I
1.927 3.316 5.287 I
2.705 0.656 7.948 I
6.558 8.607 1.315 I
7.336 5.947 3.976 I
0.656 7.948 2.705 I
3.976 -1.927 12.579 I
-1.927 5.947 5.287 I
6.558 0.656 10.578 I
-1.315 2.705 8.607 I
5.947 3.976 7.336 I
3.316 14.550 -1.927 I
1.315 11.967 0.656 I
3.976 7.336 5.947 I
0.656 1.315 11.967 I
3.976 11.190 3.316 I
9.919 7.948 6.558 I
1.315 6.558 8.607 I
3.316 3.976 11.190 I
-3.316 5.287 11.190 I
7.948 6.558 9.919 I
-1.927 12.579 3.976 I
-2.705 8.607 7.948 I
-5.287 11.190 5.947 I
0.656 10.578 6.558 I
-1.927 3.316 14.550 I
6.558 9.919 7.948 I
4.631 2.316 0.000 Cl
9.263 4.631 -2.316 Cl
2.316 0.000 4.631 Cl
11.579 0.000 4.631 Cl
0.000 4.631 2.316 Cl
4.631 -2.316 9.263 Cl
4.631 11.579 0.000 Cl
9.263 4.631 6.947 Cl
-2.316 9.263 4.631 Cl
6.947 9.263 4.631 Cl
0.000 4.631 11.579 Cl
4.631 6.947 9.263 Cl
```



Material: Hg5I3Cl12
Method: DFT, PBE
State: optimized geometry

For the total energy, the calculation gives -1.619 eV per atom. Its density is 4.4 Mg/m³. The size of the total moment comes out at 5.06 μB/f.u.

Cell and atoms, written as POSCAR:
```
Hg5I3Cl12
1.0
-8.779 8.779 8.779
8.779 -8.779 8.779
8.779 8.779 -8.779
Hg I Cl
20 12 48
Cartesian
0.000 0.000 0.000 Hg
4.390 4.390 -4.390 Hg
4.390 -4.390 4.390 Hg
8.779 0.000 0.000 Hg
13.169 2.195 0.000 Hg
8.779 -4.390 6.584 Hg
6.584 8.779 -4.390 Hg
6.584 0.000 4.390 Hg
4.390 6.584 0.000 Hg
8.779 4.390 2.195 Hg
-4.390 4.390 4.390 Hg
0.000 8.779 0.000 Hg
0.000 0.000 8.779 Hg
4.390 4.390 4.390 Hg
0.000 4.390 6.584 Hg
4.390 2.195 8.779 Hg
2.195 8.779 4.390 Hg
2.195 0.000 13.169 Hg
0.000 13.169 2.195 Hg
-4.390 6.584 8.779 Hg
4.390 2.195 0.000 I
8.779 4.390 -2.195 I
2.195 0.000 4.390 I
10.974 0.000 4.390 I
0.000 4.390 2.195 I
4.390 -2.195 8.779 I
4.390 10.974 0.000 I
8.779 4.390 6.584 I
-2.195 8.779 4.390 I
6.584 8.779 4.390 I
0.000 4.390 10.974 I
4.390 6.584 8.779 I
2.600 -0.502 0.679 Cl
10.569 5.068 -4.892 Cl
11.379 0.502 0.679 Cl
10.569 -3.711 4.892 Cl
8.277 -0.679 2.600 Cl
13.671 -1.790 3.711 Cl
0.679 2.600 -0.502 Cl
12.490 3.888 -1.790 Cl
5.068 4.892 -1.790 Cl
8.100 2.600 0.502 Cl
-0.502 0.679 2.600 Cl
4.892 -1.790 5.068 Cl
8.277 8.100 -2.600 Cl
4.892 1.790 3.711 Cl
5.068 -4.892 10.569 Cl
8.100 -2.600 8.277 Cl
3.711 4.892 1.790 Cl
9.458 6.179 0.502 Cl
4.892 10.569 -3.711 Cl
8.277 0.679 6.179 Cl
2.600 8.277 -0.679 Cl
10.569 3.711 3.888 Cl
1.790 3.711 4.892 Cl
2.600 0.502 8.100 Cl
6.179 8.277 0.679 Cl
6.989 5.068 3.888 Cl
-1.790 5.068 4.892 Cl
6.179 0.502 9.458 Cl
0.502 8.100 2.600 Cl
3.888 -1.790 12.490 Cl
-0.679 2.600 8.277 Cl
5.068 3.888 6.989 Cl
0.679 11.379 0.502 Cl
3.711 13.671 -1.790 Cl
3.888 6.989 5.068 Cl
0.502 0.679 11.379 Cl
3.888 10.569 3.711 Cl
9.281 8.100 6.179 Cl
0.679 6.179 8.277 Cl
3.711 3.888 10.569 Cl
-3.711 4.892 10.569 Cl
8.100 6.179 9.281 Cl
-4.892 10.569 5.068 Cl
0.502 9.458 6.179 Cl
-1.790 12.490 3.888 Cl
-2.600 8.277 8.100 Cl
-1.790 3.711 13.671 Cl
6.179 9.281 8.100 Cl
```



Material: HgI2Cl
Method: DFT, PBE
State: optimized geometry

For the total energy, the calculation gives -1.608 eV per atom. As for the energy relative to the lowest polymorph listed for this composition: 1.44 kJ per mole of atoms. Its density is 4.4 Mg/m³. The size of the total moment comes out at 0.00 μB/f.u.

Cell and atoms, written as POSCAR:
```
HgI2Cl
1.0
6.885 0.000 0.000
2.834 7.259 0.000
2.634 3.081 7.329
Hg I Cl
2 4 2
Cartesian
0.000 0.000 0.000 Hg
6.351 6.002 7.071 Hg
5.014 7.991 5.682 I
5.433 3.357 6.751 I
6.642 4.877 2.340 I
8.868 6.670 2.625 I
4.474 3.349 2.211 Cl
8.784 5.308 6.243 Cl
```



Material: Hg3ICl5
Method: DFT, PBE
State: optimized geometry

For the total energy, the calculation gives -1.833 eV per atom. Its density is 4.6 Mg/m³. The size of the total moment comes out at 0.00 μB/f.u.

Cell and atoms, written as POSCAR:
```
Hg3ICl5
1.0
7.274 0.000 0.000
2.872 9.686 0.000
3.177 4.030 9.195
Hg I Cl
6 2 10
Cartesian
0.000 0.000 0.000 Hg
4.866 9.746 5.512 Hg
5.541 5.660 6.277 Hg
5.073 4.843 0.000 Hg
7.782 8.056 2.918 Hg
8.457 3.970 3.683 Hg
7.571 10.878 7.635 I
5.752 2.838 1.560 I
2.165 5.322 2.073 Cl
3.557 4.452 6.004 Cl
2.043 1.134 0.084 Cl
5.953 10.868 3.790 Cl
5.770 6.876 2.903 Cl
7.553 6.840 6.292 Cl
7.370 2.847 5.405 Cl
11.280 12.581 9.111 Cl
9.766 9.264 3.191 Cl
11.158 8.394 7.122 Cl
```



Material: HgICl2
Method: DFT, PBE
State: optimized geometry

For the total energy, the calculation gives -1.489 eV per atom. As for the energy relative to the lowest polymorph listed for this composition: 31.59 kJ per mole of atoms. Its density is 5.0 Mg/m³. The size of the total moment comes out at 1.00 μB/f.u.

Cell and atoms, written as POSCAR:
```
HgICl2
1.0
-4.137 4.137 3.880
4.137 -4.137 3.880
4.137 4.137 -3.880
Hg I Cl
2 2 4
Cartesian
0.000 0.000 0.000 Hg
0.000 4.137 1.940 Hg
4.137 0.000 1.940 I
0.000 0.000 3.880 I
6.205 1.214 -0.970 Cl
1.214 2.068 0.970 Cl
-2.068 2.923 2.910 Cl
2.923 2.068 4.850 Cl
```



Material: HgI3Cl9
Method: DFT, PBE
State: optimized geometry

For the total energy, the calculation gives -1.913 eV per atom. Its density is 2.4 Mg/m³. The size of the total moment comes out at 0.00 μB/f.u.

Cell and atoms, written as POSCAR:
```
HgI3Cl9
1.0
9.798 -6.603 0.000
9.798 6.603 0.000
-8.850 0.000 9.762
Hg I Cl
2 6 18
Cartesian
5.373 4.172 4.881 Hg
9.798 -4.172 0.000 Hg
2.697 1.051 2.664 I
-1.727 -1.051 7.545 I
12.652 0.194 0.422 I
8.227 -0.194 5.304 I
12.722 1.087 3.457 I
8.297 -1.087 8.338 I
5.348 4.226 2.570 Cl
2.241 0.149 0.382 Cl
-2.184 -0.149 5.263 Cl
3.034 2.052 4.966 Cl
5.622 4.100 7.247 Cl
0.301 0.183 7.684 Cl
4.725 -0.183 2.803 Cl
8.169 2.181 4.772 Cl
3.702 0.843 7.869 Cl
12.731 2.682 1.257 Cl
7.459 -2.052 0.085 Cl
8.127 -0.843 2.988 Cl
0.923 -4.226 7.451 Cl
3.744 -2.181 9.653 Cl
17.093 0.549 0.371 Cl
8.306 -2.682 6.138 Cl
12.668 -0.549 5.252 Cl
10.047 -4.100 2.366 Cl
```



Material: HgI2Cl
Method: DFT, PBE
State: optimized geometry

For the total energy, the calculation gives -1.623 eV per atom. As for the energy relative to the lowest polymorph listed for this composition: 0.00 kJ per mole of atoms. Its density is 4.7 Mg/m³. The size of the total moment comes out at 0.00 μB/f.u.

Cell and atoms, written as POSCAR:
```
HgI2Cl
1.0
6.986 0.000 0.000
2.610 7.178 0.000
2.008 3.320 6.946
Hg I Cl
2 4 2
Cartesian
0.000 0.000 0.000 Hg
4.945 5.226 4.882 Hg
5.549 7.612 3.798 I
5.054 3.478 2.228 I
8.766 5.402 5.333 I
7.249 1.888 2.983 I
2.387 5.176 1.208 Cl
5.065 3.454 6.523 Cl
```



Material: Hg2I3Cl
Method: DFT, PBE
State: optimized geometry

For the total energy, the calculation gives -1.525 eV per atom. As for the energy relative to the lowest polymorph listed for this composition: 1.33 kJ per mole of atoms. Its density is 4.8 Mg/m³. The size of the total moment comes out at 0.00 μB/f.u.

Cell and atoms, written as POSCAR:
```
Hg2I3Cl
1.0
14.939 -2.264 0.000
14.939 2.264 0.000
-0.980 0.000 8.284
Hg I Cl
4 6 2
Cartesian
0.906 0.000 1.670 Hg
8.342 0.000 5.387 Hg
20.555 0.000 2.898 Hg
27.991 0.000 6.615 Hg
0.913 0.000 7.261 I
8.307 0.000 2.748 I
12.256 0.000 5.025 I
16.642 0.000 3.260 I
20.590 0.000 5.536 I
27.984 0.000 1.024 I
8.760 0.000 7.682 Cl
20.137 0.000 0.603 Cl
```



Material: HgI2Cl
Method: DFT, PBE
State: optimized geometry

For the total energy, the calculation gives -1.297 eV per atom. As for the energy relative to the lowest polymorph listed for this composition: 31.48 kJ per mole of atoms. Its density is 5.3 Mg/m³. The size of the total moment comes out at 1.00 μB/f.u.

Cell and atoms, written as POSCAR:
```
HgI2Cl
1.0
-4.081 4.081 4.597
4.081 -4.081 4.597
4.081 4.081 -4.597
Hg I Cl
2 4 2
Cartesian
0.000 0.000 0.000 Hg
0.000 4.081 2.298 Hg
2.041 1.690 -1.149 I
2.391 -2.041 5.746 I
2.041 2.391 3.448 I
1.690 6.122 1.149 I
4.081 0.000 2.298 Cl
0.000 0.000 4.597 Cl
```



Material: HgI2Cl
Method: DFT, PBE
State: optimized geometry

For the total energy, the calculation gives -1.538 eV per atom. As for the energy relative to the lowest polymorph listed for this composition: 8.16 kJ per mole of atoms. Its density is 5.0 Mg/m³. The size of the total moment comes out at 0.00 μB/f.u.

Cell and atoms, written as POSCAR:
```
HgI2Cl
1.0
3.228 -5.908 0.000
3.228 5.908 0.000
-1.116 0.000 4.287
Hg I Cl
1 2 1
Cartesian
0.000 0.000 0.000 Hg
3.896 3.237 0.439 I
3.896 -3.237 0.439 I
4.354 0.000 1.826 Cl
```



size of the total moment of number 8 (HgI3Cl9)? 0.00 μB/f.u.